(1)
Material: Mg14BW
Method: DFT, PBE
State: relaxed

Cell and atoms, written as CIF:
```
data_Mg14BW
_chemical_formula_sum 'Mg14 B1 W1'
_cell_length_a 6.189
_cell_length_b 6.189
_cell_length_c 9.664
_cell_angle_alpha 90.00
_cell_angle_beta 90.00
_cell_angle_gamma 120.00
_space_group_name_H-M_alt 'P 1'
_space_group_IT_number 1
loop_
_space_group_symop_operation_xyz
'x,y,z'
loop_
_atom_site_label
_atom_site_fract_x
_atom_site_fract_y
_atom_site_fract_z
Mg1 0.000 0.000 0.247
Mg2 0.000 0.000 0.753
Mg3 0.023 0.511 0.258
Mg4 0.023 0.511 0.742
Mg5 0.330 0.165 0.500
Mg6 0.339 0.170 0.000
Mg7 0.489 0.511 0.258
Mg8 0.489 0.511 0.742
Mg9 0.489 0.977 0.258
Mg10 0.489 0.977 0.742
Mg11 0.830 0.170 0.000
Mg12 0.830 0.661 0.000
Mg13 0.835 0.165 0.500
Mg14 0.835 0.670 0.500
B1 0.333 0.667 0.500
W1 0.333 0.667 0.000
```

Calculated values
The value obtained for the energy above the most stable polymorph in this dataset is 67 meV/atom. Its crystal system is hexagonal. The value obtained for the total magnetization is 0.0 μB per formula unit. The value obtained for the electronic total energy is -37.18 eV/f.u.

=====

(2)
Material: HoHf2Np
Method: DFT, PBE
State: relaxed

Cell and atoms, written as CIF:
```
data_HoHf2Np
_chemical_formula_sum 'Ho3 Hf6 Np3'
_cell_length_a 3.229
_cell_length_b 3.229
_cell_length_c 32.166
_cell_angle_alpha 90.00
_cell_angle_beta 90.00
_cell_angle_gamma 120.00
_space_group_name_H-M_alt 'P 1'
_space_group_IT_number 1
loop_
_space_group_symop_operation_xyz
'x,y,z'
loop_
_atom_site_label
_atom_site_fract_x
_atom_site_fract_y
_atom_site_fract_z
Ho1 0.000 0.000 0.000
Ho2 0.333 0.667 0.667
Ho3 0.667 0.333 0.333
Hf1 0.000 0.000 0.247
Hf2 0.000 0.000 0.753
Hf3 0.333 0.667 0.420
Hf4 0.333 0.667 0.913
Hf5 0.667 0.333 0.087
Hf6 0.667 0.333 0.580
Np1 0.000 0.000 0.500
Np2 0.333 0.667 0.167
Np3 0.667 0.333 0.833
```

Calculated values
The value obtained for the energy above the most stable polymorph in this dataset is 0 meV/atom. Its crystal system is trigonal. The value obtained for the total magnetization is 3.6 μB per formula unit. The value obtained for the electronic total energy is -36.15 eV/f.u.

=====

It is found that the formation energy from the elements values, taken in the order of the records, are 0.30, 0.32 eV/atom.